Density functional theory data (PBE) for an optimized crystal structure of Mn2NbCo2.

Values from the calculation:
Mass density ... 8.04 Mg/m³
DOS(E_F) ... 25.8 states/eV/cell
ΔE_f ... 0.204 eV/atom

abc: 3.6469 3.6469 19.9238
angles: 90.00 90.00 90.00
Space group I4/mmm (No. 139)
Asymmetric unit:
Mn (0.0000, 0.0000, 0.0717)
Mn (0.0000, 0.5000, 0.2500)
Nb (0.0000, 0.0000, 0.3819)
Co (0.0000, 0.0000, 0.1786)
Co (0.0000, 0.5000, 0.0000)

---

Density functional theory data (PBE) for an optimized crystal structure of Mn3Nb12Co5.

Values from the calculation:
Mass density ... 7.12 Mg/m³
DOS(E_F) ... 172.3 states/eV/cell
ΔE_f ... 0.687 eV/atom

abc: 14.3248 14.3248 14.3248
angles: 90.00 90.00 90.00
Space group Ia-3d (No. 230)
Asymmetric unit:
Mn (0.0000, 0.2500, 0.1250)
Nb (0.0201, 0.0727, 0.6515)
Co (0.0000, 0.0000, 0.0000)
Co (0.0000, 0.2500, 0.3750)

---

Density functional theory data (PBE) for an optimized crystal structure of MnNbCo2Pd.

Values from the calculation:
Mass density ... 6.95 Mg/m³
DOS(E_F) ... 4.3 states/eV/cell
ΔE_f ... 1.331 eV/atom

abc: 4.3900 4.3900 4.6135
angles: 90.00 90.00 90.00
Space group P4/mmm (No. 123)
Asymmetric unit:
Mn (0.0000, 0.0000, 0.0000)
Nb (0.0000, 0.0000, 0.5000)
Co (0.0000, 0.5000, 0.5000)
Pd (0.5000, 0.5000, 0.0000)

---

Density functional theory data (PBE) for an optimized crystal structure of MnNbCoRh.

Values from the calculation:
Mass density ... 8.90 Mg/m³
DOS(E_F) ... 13.2 states/eV/cell
ΔE_f ... -0.154 eV/atom

abc: 6.1363 6.1363 6.1363
angles: 90.00 90.00 90.00
Space group F-43m (No. 216)
Asymmetric unit:
Mn (0.0000, 0.0000, 0.0000)
Nb (0.0000, 0.0000, 0.5000)
Co (0.2500, 0.2500, 0.7500)
Rh (0.2500, 0.2500, 0.2500)

---

Density functional theory data (PBE) for an optimized crystal structure of MnNb2CoRh.

Values from the calculation:
Mass density ... 7.38 Mg/m³
DOS(E_F) ... 5.6 states/eV/cell
ΔE_f ... 0.964 eV/atom

abc: 4.5358 4.5358 4.4016
angles: 90.00 90.00 90.00
Space group P4/mmm (No. 123)
Asymmetric unit:
Mn (0.0000, 0.0000, 0.0000)
Nb (0.0000, 0.5000, 0.0000)
Co (0.5000, 0.5000, 0.5000)
Rh (0.0000, 0.0000, 0.5000)

---

Density functional theory data (PBE) for an optimized crystal structure of MnNbCoRu.

Values from the calculation:
Mass density ... 8.97 Mg/m³
DOS(E_F) ... 8.7 states/eV/cell
ΔE_f ... -0.109 eV/atom

abc: 6.1098 6.1098 6.1098
angles: 90.00 90.00 90.00
Space group F-43m (No. 216)
Asymmetric unit:
Mn (0.0000, 0.0000, 0.0000)
Nb (0.0000, 0.0000, 0.5000)
Co (0.2500, 0.2500, 0.7500)
Ru (0.2500, 0.2500, 0.2500)

---

Density functional theory data (PBE) for an optimized crystal structure of Sc2MnNbCo.

Values from the calculation:
Mass density ... 4.86 Mg/m³
DOS(E_F) ... 8.3 states/eV/cell
ΔE_f ... 0.706 eV/atom

abc: 4.7804 4.7804 4.4316
angles: 90.00 90.00 90.00
Space group P4/mmm (No. 123)
Asymmetric unit:
Sc (0.0000, 0.5000, 0.0000)
Mn (0.0000, 0.0000, 0.0000)
Nb (0.0000, 0.0000, 0.5000)
Co (0.5000, 0.5000, 0.5000)

---

Density functional theory data (PBE) for an optimized crystal structure of Mn2Nb2Co5Si.

Values from the calculation:
Mass density ... 8.18 Mg/m³
DOS(E_F) ... 20.5 states/eV/cell
Formation energy (no corrections) ... -42 meV/atom

abc: 8.3759 8.3759 3.5787
angles: 90.00 90.00 90.00
Space group P4/mbm (No. 127)
Asymmetric unit:
Mn (0.1248, 0.3752, 0.0000)
Nb (0.1755, 0.6755, 0.0000)
Co (0.0000, 0.5000, 0.5000)
Co (0.0626, 0.2027, 0.5000)
Si (0.0000, 0.0000, 0.0000)

---

Density functional theory data (PBE) for an optimized crystal structure of MnNb2CoSn.

Values from the calculation:
Mass density ... 7.29 Mg/m³
DOS(E_F) ... 6.0 states/eV/cell
ΔE_f ... 0.966 eV/atom

abc: 4.5549 4.5549 4.5957
angles: 90.00 90.00 90.00
Space group P4/mmm (No. 123)
Asymmetric unit:
Mn (0.0000, 0.0000, 0.0000)
Nb (0.0000, 0.5000, 0.5000)
Co (0.5000, 0.5000, 0.5000)
Sn (0.5000, 0.5000, 0.0000)

---

Density functional theory data (PBE) for an optimized crystal structure of TiMnNbCo.

Values from the calculation:
Mass density ... 7.63 Mg/m³
DOS(E_F) ... 13.6 states/eV/cell
ΔE_f ... -0.221 eV/atom

abc: 6.0531 6.0531 6.0531
angles: 90.00 90.00 90.00
Space group F-43m (No. 216)
Asymmetric unit:
Ti (0.0000, 0.0000, 0.0000)
Mn (0.2500, 0.2500, 0.2500)
Nb (0.0000, 0.0000, 0.5000)
Co (0.2500, 0.2500, 0.7500)

---

Density functional theory data (PBE) for an optimized crystal structure of TiMnNbCo.

Values from the calculation:
Mass density ... 7.68 Mg/m³
DOS(E_F) ... 3.2 states/eV/cell
ΔE_f ... -0.228 eV/atom

abc: 3.0329 3.0329 5.9856
angles: 90.00 90.00 90.00
Space group P4mm (No. 99)
Asymmetric unit:
Ti (0.0000, 0.0000, 0.0000)
Mn (0.5000, 0.5000, 0.2421)
Nb (0.0000, 0.0000, 0.4941)
Co (0.5000, 0.5000, 0.7566)

---

Density functional theory data (PBE) for an optimized crystal structure of Mn5Nb2VCo2.

Values from the calculation:
Mass density ... 7.91 Mg/m³
DOS(E_F) ... 27.5 states/eV/cell
ΔE_f ... 0.086 eV/atom

abc: 8.7229 8.7229 3.4744
angles: 90.00 90.00 90.00
Space group P4/mbm (No. 127)
Asymmetric unit:
Mn (0.0000, 0.5000, 0.0000)
Mn (0.0615, 0.2041, 0.0000)
Nb (0.1793, 0.6793, 0.5000)
V (0.0000, 0.0000, 0.5000)
Co (0.1180, 0.3820, 0.5000)